The following is a PBE+U calculation of an optimized crystal structure of LiMn3O6, from Alexandria via LeMat-Bulk.

## Properties
The calculation puts the total energy at -6.9161 eV per atom. The calculation puts the energy above the most stable polymorph in this dataset at 46 meV/atom. As for the space-group type: Pnnm.

Lattice parameters (Å, degrees): 4.9114 5.0211 8.2403 90.00 90.00 90.00
Closest atoms and distances in Å follow each position.
Fractional coordinates of all 20 atoms:
Li (0.0000, 0.0000, 0.0000)  2 O 1.79
Li (0.5000, 0.5000, 0.5000)  2 O 1.79
Mn (0.0000, 0.0000, 0.5000)  6 O 1.87-1.98
Mn (0.0000, 0.5000, 0.3069)  6 O 1.97-2.03
Mn (0.0000, 0.5000, 0.6931)  6 O 1.97-2.03
Mn (0.5000, 0.0000, 0.1931)  6 O 1.97-2.03
Mn (0.5000, 0.0000, 0.8069)  6 O 1.97-2.03
Mn (0.5000, 0.5000, 0.0000)  6 O 1.87-1.98
O (0.1830, 0.3260, 0.5000)  1 Li 1.79, 1 Mn 1.87
O (0.2345, 0.8244, 0.3361)  3 Mn 1.97-2.01
O (0.2345, 0.8244, 0.6639)  3 Mn 1.97-2.01
O (0.2655, 0.3244, 0.1639)  3 Mn 1.97-2.01
O (0.2655, 0.3244, 0.8361)  3 Mn 1.97-2.01
O (0.3170, 0.8260, 0.0000)  1 Li 1.79, 1 Mn 1.87
O (0.6830, 0.1740, 0.0000)  1 Li 1.79, 1 Mn 1.87
O (0.7345, 0.6756, 0.1639)  3 Mn 1.97-2.01
O (0.7345, 0.6756, 0.8361)  3 Mn 1.97-2.01
O (0.7655, 0.1756, 0.3361)  3 Mn 1.97-2.01
O (0.7655, 0.1756, 0.6639)  3 Mn 1.97-2.01
O (0.8170, 0.6740, 0.5000)  1 Li 1.79, 1 Mn 1.87